No. 1
BeFe2MoI: relaxed, PBE-GGA.

POSCAR file:
```
BeFe2MoI
1.0
4.5940 0.0000 0.0000
0.0000 4.5855 0.0000
0.0000 0.0000 4.5940
Fe I Be Mo
2 1 1 1
direct
0.0000 0.0000 0.5000 Fe
0.5000 0.0000 0.0000 Fe
0.5000 0.5000 0.5000 I
0.0000 0.5000 0.0000 Be
0.0000 0.0000 0.0000 Mo
```

Computed properties:
Its final energy is -5.12 eV/atom. The value obtained for the total magnetic moment is 3.34 μB per cell. For the volume, the calculation gives 19.36 Å³ per atom. The energy relative to the elements, uncorrected is 1481.8 meV/atom.

=====

No. 2
MgAl4Ni: relaxed, PBE-GGA.

POSCAR file:
```
MgAl4Ni
1.0
-3.6859 3.1710 -1.1942
3.4390 0.0516 -5.6387
-3.3909 -5.6604 0.2673
Al Mg Ni
8 2 2
direct
0.3811 0.8571 0.6302 Al
0.9403 0.0596 0.7023 Al
0.8810 0.6304 0.8572 Al
0.6189 0.1429 0.3698 Al
0.1189 0.3696 0.1428 Al
0.5597 0.2977 0.9402 Al
0.4402 0.7023 0.0598 Al
0.0597 0.9404 0.2977 Al
0.2499 0.4059 0.5943 Mg
0.7501 0.5941 0.4057 Mg
0.7499 0.9986 0.0014 Ni
0.2500 0.0014 0.9986 Ni
```

Computed properties:
Its final energy is -3.89 eV/atom. The value obtained for the total magnetic moment is 0.00 μB per cell. For the volume, the calculation gives 16.53 Å³ per atom. The value obtained for the energy relative to the elements is -0.16 eV per atom.

=====

No. 3
Sm2HfHg: relaxed, PBE-GGA.

POSCAR file:
```
Sm2HfHg
1.0
-0.3713 2.1682 -2.6847
-2.7261 -1.8399 -1.1089
-5.5229 5.1944 4.9589
Sm Hg Hf
2 1 1
direct
0.0000 0.0000 0.2445 Sm
0.0000 0.0000 0.7555 Sm
0.5000 0.5000 0.0000 Hg
0.5000 0.5000 0.5000 Hf
```

Computed properties:
Its final energy is -5.04 eV/atom. The value obtained for the total magnetic moment is 0.00 μB per cell. For the volume, the calculation gives 27.28 Å³ per atom. The value obtained for the energy relative to the elements is -0.12 eV per atom.

=====

No. 4
Ce4Os2Au: relaxed, PBE-GGA.

POSCAR file:
```
Ce4Os2Au
1.0
7.5202 -1.1379 -0.1535
-1.6797 7.4198 0.1517
-2.8077 -3.2436 6.2831
Ce Au Os
8 2 4
direct
0.3932 0.5094 0.2458 Ce
0.2636 0.1477 0.7546 Ce
0.9862 0.2405 0.3836 Ce
0.7592 0.1436 0.7458 Ce
0.3974 0.0135 0.2540 Ce
0.8525 0.6072 0.1165 Ce
0.8571 0.6023 0.6162 Ce
0.4907 0.7358 0.8834 Ce
0.2501 0.7503 0.5001 Au
0.9998 0.0000 0.9997 Au
0.1252 0.5164 0.8914 Os
0.6250 0.2335 0.1086 Os
0.4838 0.3747 0.6087 Os
0.7664 0.8750 0.3917 Os
```

Computed properties:
Its final energy is -7.37 eV/atom. The value obtained for the total magnetic moment is 2.24 μB per cell. For the volume, the calculation gives 24.19 Å³ per atom. The value obtained for the energy relative to the elements is -0.31 eV per atom.

=====

No. 5
ScHSe2N: relaxed, PBE-GGA.

POSCAR file:
```
ScHSe2N
1.0
5.2285 0.0000 0.0000
0.0000 5.2285 0.0000
0.0000 0.0000 4.2478
Se H N Sc
2 1 1 1
direct
0.0000 0.5000 0.0000 Se
0.5000 0.0000 0.0000 Se
0.5000 0.5000 0.5000 H
0.0000 0.0000 0.5000 N
0.0000 0.0000 0.0000 Sc
```

Computed properties:
Its final energy is -4.31 eV/atom. The value obtained for the total magnetic moment is 1.65 μB per cell. For the volume, the calculation gives 23.22 Å³ per atom.

=====

No. 6
ThPbAu2: relaxed, PBE-GGA.

POSCAR file:
```
ThPbAu2
1.0
-0.7526 -0.1349 4.1345
-2.5555 -4.0697 -0.5980
4.0210 -2.6200 0.6465
Pb Au Th
1 2 1
direct
0.5000 0.0000 0.0000 Pb
0.0000 0.5000 0.0000 Au
0.0000 0.0000 0.5000 Au
0.5000 0.5000 0.5000 Th
```

Computed properties:
Its final energy is -4.81 eV/atom. The value obtained for the total magnetic moment is 0.00 μB per cell. For the volume, the calculation gives 24.65 Å³ per atom. The value obtained for the energy relative to the elements is -0.39 eV per atom.

=====

No. 7
Hg3Ir: relaxed, PBE-GGA.

POSCAR file:
```
Hg3Ir
1.0
4.6067 0.0000 0.0000
0.0000 5.9130 0.0000
0.0000 0.0000 5.9744
Ir Hg
2 6
direct
0.5000 0.5000 0.7101 Ir
0.0000 0.0000 0.2899 Ir
0.0000 0.7545 0.8462 Hg
0.5000 0.7455 0.1538 Hg
0.0000 0.5000 0.4015 Hg
0.5000 0.0000 0.5985 Hg
0.5000 0.2545 0.1538 Hg
0.0000 0.2455 0.8462 Hg
```

Computed properties:
Its final energy is -2.00 eV/atom. The value obtained for the total magnetic moment is 0.00 μB per cell. For the volume, the calculation gives 20.34 Å³ per atom. The value obtained for the energy relative to the elements is 0.45 eV per atom.

=====

No. 8
NaAcSmAg: relaxed, PBE-GGA.

POSCAR file:
```
NaAcSmAg
1.0
-0.5733 2.4095 5.0354
-3.8338 -1.9310 3.6143
1.6277 -2.7358 4.6212
Sm Ac Na Ag
1 1 1 1
direct
0.5000 0.5000 0.5000 Sm
0.0000 0.0000 0.0000 Ac
0.2500 0.2500 0.2500 Na
0.7500 0.7500 0.7500 Ag
```

Computed properties:
Its final energy is -3.16 eV/atom. The value obtained for the total magnetic moment is 0.27 μB per cell. For the volume, the calculation gives 31.24 Å³ per atom. The value obtained for the energy relative to the elements is 0.09 eV per atom.

=====

No. 9
Tb2Pm4Tm: relaxed, PBE-GGA.

POSCAR file:
```
Tb2Pm4Tm
1.0
6.2042 0.0000 -0.2704
0.0000 6.6438 0.0000
-2.3793 0.0000 11.3490
Pm Tm Tb
8 2 4
direct
0.0418 0.7500 0.8652 Pm
0.9582 0.2500 0.1348 Pm
0.8488 0.2500 0.5497 Pm
0.1512 0.7500 0.4503 Pm
0.6482 0.5108 0.2850 Pm
0.3518 0.0108 0.7150 Pm
0.6482 0.9892 0.2850 Pm
0.3518 0.4892 0.7150 Pm
0.8526 0.2500 0.8366 Tm
0.1474 0.7500 0.1634 Tm
0.2873 0.2500 0.4219 Tb
0.6087 0.7500 0.9933 Tb
0.3913 0.2500 0.0067 Tb
0.7127 0.7500 0.5781 Tb
```

Computed properties:
Its final energy is -4.55 eV/atom. The value obtained for the total magnetic moment is 0.00 μB per cell. For the volume, the calculation gives 33.11 Å³ per atom. The value obtained for the energy relative to the elements is 0.13 eV per atom.

=====

No. 10
B5H8: relaxed, PBE-GGA.

POSCAR file:
```
B5H8
1.0
5.9240 0.0000 0.0000
0.0000 11.1552 0.0000
0.0000 0.0000 15.1022
B H
40 64
direct
0.8722 0.6991 0.8336 B
0.6743 0.4606 0.0385 B
0.6735 0.8410 0.0736 B
0.1278 0.3009 0.3336 B
0.6410 0.8135 0.3857 B
0.1410 0.6865 0.8857 B
0.6153 0.7897 0.2746 B
0.5926 0.9767 0.1122 B
0.8847 0.2897 0.2746 B
0.8265 0.3410 0.0736 B
0.6278 0.1991 0.8336 B
0.7070 0.8631 0.1845 B
0.9563 0.8368 0.7840 B
0.1743 0.0394 0.5385 B
0.0567 0.1510 0.6099 B
0.8257 0.9606 0.0385 B
0.9433 0.8490 0.1099 B
0.7263 0.6761 0.3355 B
0.1153 0.7103 0.7746 B
0.3847 0.2103 0.7746 B
0.3590 0.1865 0.8857 B
0.5437 0.3368 0.7840 B
0.2263 0.8239 0.8355 B
0.2070 0.6369 0.6845 B
0.3265 0.1590 0.5736 B
0.4563 0.6632 0.2840 B
0.9074 0.4767 0.1122 B
0.5567 0.3490 0.1099 B
0.3722 0.8009 0.3336 B
0.3257 0.5394 0.5385 B
0.0926 0.5233 0.6122 B
0.7930 0.3631 0.1845 B
0.2737 0.3239 0.8355 B
0.4433 0.6510 0.6099 B
0.4074 0.0233 0.6122 B
0.7737 0.1761 0.3355 B
0.1735 0.6590 0.5736 B
0.8590 0.3135 0.3857 B
0.2930 0.1369 0.6845 B
0.0437 0.1632 0.2840 B
0.5203 0.5417 0.5843 H
0.8672 0.9962 0.9659 H
0.7017 0.7072 0.4215 H
0.1222 0.0994 0.2288 H
0.7135 0.6344 0.8258 H
0.7983 0.2072 0.4215 H
0.4797 0.4583 0.0843 H
0.7080 0.3121 0.8430 H
0.3778 0.5994 0.2288 H
0.7865 0.1344 0.8258 H
0.4397 0.4065 0.8444 H
0.2649 0.1103 0.9267 H
0.2017 0.7928 0.9215 H
0.2865 0.3656 0.3258 H
0.9023 0.2189 0.6038 H
0.5603 0.5935 0.3444 H
0.2546 0.4449 0.5862 H
0.9328 0.8860 0.1939 H
0.9261 0.2658 0.0334 H
0.7454 0.5551 0.0862 H
0.6222 0.4006 0.7288 H
0.6662 0.9830 0.1956 H
0.0672 0.1140 0.6939 H
0.6328 0.4962 0.9659 H
0.5829 0.9714 0.6082 H
0.0829 0.5286 0.1082 H
0.1662 0.5170 0.6956 H
0.8778 0.9006 0.7288 H
0.8995 0.6227 0.3294 H
0.3338 0.0170 0.6956 H
0.7546 0.0551 0.0862 H
0.5977 0.7189 0.6038 H
0.7351 0.8897 0.4267 H
0.6005 0.1227 0.3294 H
0.8338 0.4830 0.1956 H
0.4023 0.2811 0.1038 H
0.2135 0.8656 0.3258 H
0.0681 0.3015 0.4200 H
0.2920 0.6879 0.3430 H
0.2351 0.6103 0.9267 H
0.7920 0.8121 0.8430 H
0.2080 0.1879 0.3430 H
0.5681 0.1985 0.9200 H
0.2454 0.9449 0.5862 H
0.0603 0.9065 0.8444 H
0.5672 0.3860 0.1939 H
0.4328 0.6140 0.6939 H
0.4261 0.2342 0.5334 H
0.9171 0.4714 0.6082 H
0.2983 0.2928 0.9215 H
0.4319 0.8015 0.4200 H
0.1328 0.0038 0.4659 H
0.9319 0.6985 0.9200 H
0.3672 0.5038 0.4659 H
0.4171 0.0286 0.1082 H
0.0203 0.9583 0.0843 H
0.3995 0.8773 0.8294 H
0.0977 0.7811 0.1038 H
0.7649 0.3897 0.4267 H
0.1005 0.3773 0.8294 H
0.9397 0.0935 0.3444 H
0.9797 0.0417 0.5843 H
0.5739 0.7658 0.0334 H
0.0739 0.7342 0.5334 H
```

Computed properties:
Its final energy is -4.70 eV/atom. The value obtained for the total magnetic moment is 0.00 μB per cell. For the volume, the calculation gives 9.60 Å³ per atom.

=====

No. 11
KV3Pd: relaxed, PBE-GGA.

POSCAR file:
```
KV3Pd
1.0
-1.9779 -3.7388 0.6032
2.9179 -1.9382 -2.4462
2.4143 -0.7205 3.4506
V K Pd
3 1 1
direct
0.5000 0.0000 0.0000 V
0.0000 0.5000 0.0000 V
0.0000 0.0000 0.5000 V
0.0000 0.0000 0.0000 K
0.5000 0.5000 0.5000 Pd
```

Computed properties:
Its final energy is -4.41 eV/atom. The value obtained for the total magnetic moment is 0.01 μB per cell. For the volume, the calculation gives 15.60 Å³ per atom. The value obtained for the energy relative to the elements is 2.32 eV per atom.

=====

No. 12
Pa2Ni2Ir: relaxed, PBE-GGA.

POSCAR file:
```
Pa2Ni2Ir
1.0
4.2016 0.0000 0.0000
2.1008 4.6218 -0.1706
2.1008 0.8469 4.5467
Pa Ni Ir
2 2 1
direct
0.7864 0.7136 0.7136 Pa
0.2136 0.2864 0.2864 Pa
0.5000 0.2980 0.7020 Ni
0.5000 0.7020 0.2980 Ni
0.0000 0.0000 0.0000 Ir
```

Computed properties:
Its final energy is -8.48 eV/atom. The value obtained for the total magnetic moment is 0.00 μB per cell. For the volume, the calculation gives 17.78 Å³ per atom. The value obtained for the energy relative to the elements is -0.60 eV per atom.

=====

No. 13
PrTaRh2: relaxed, PBE-GGA.

POSCAR file:
```
PrTaRh2
1.0
-0.7824 -2.8377 -1.2794
0.5336 -1.4220 2.8276
-7.1856 1.1166 1.9176
Pr Rh Ta
1 2 1
direct
0.5000 0.5000 0.5000 Pr
0.0000 0.0000 0.1941 Rh
0.0000 0.0000 0.8059 Rh
0.5000 0.5000 0.0000 Ta
```

Computed properties:
Its final energy is -8.33 eV/atom. The value obtained for the total magnetic moment is 0.00 μB per cell. For the volume, the calculation gives 19.37 Å³ per atom. The value obtained for the energy relative to the elements is -0.50 eV per atom.

=====

No. 14
CdSiBr2: relaxed, PBE-GGA.

POSCAR file:
```
CdSiBr2
1.0
-7.5126 -1.8327 -1.4445
-3.7237 -4.8504 -4.9490
5.2479 1.6398 5.6263
Cd Si Br
1 1 2
direct
0.2500 0.7500 0.5000 Cd
0.7500 0.2500 0.5000 Si
0.8933 0.8933 0.0000 Br
0.6067 0.6067 0.0000 Br
```

Computed properties:
Its final energy is -2.47 eV/atom. The value obtained for the total magnetic moment is 0.00 μB per cell. For the volume, the calculation gives 31.33 Å³ per atom. The energy relative to the elements, uncorrected is -52.1 meV/atom.

=====

No. 15
Cs6ThBr12: relaxed, PBE-GGA.

POSCAR file:
```
Cs6ThBr12
1.0
9.8663 0.7082 -2.0177
-2.6019 9.5433 -2.0177
0.5018 0.7082 10.0580
Br Cs Th
12 6 1
direct
0.4678 0.1415 0.5768 Br
0.0610 0.2823 0.9836 Br
0.2823 0.9836 0.0610 Br
0.7177 0.0164 0.9390 Br
0.9836 0.0610 0.2823 Br
0.8585 0.4232 0.5322 Br
0.1415 0.5768 0.4678 Br
0.0164 0.9390 0.7177 Br
0.5768 0.4678 0.1415 Br
0.5322 0.8585 0.4232 Br
0.9390 0.7177 0.0164 Br
0.4232 0.5322 0.8585 Br
0.6261 0.1628 0.2786 Cs
0.7214 0.3739 0.8372 Cs
0.1628 0.2786 0.6261 Cs
0.3739 0.8372 0.7214 Cs
0.8372 0.7214 0.3739 Cs
0.2786 0.6261 0.1628 Cs
0.0000 0.0000 0.0000 Th
```

Computed properties:
Its final energy is -3.27 eV/atom. The value obtained for the total magnetic moment is 2.01 μB per cell. For the volume, the calculation gives 52.23 Å³ per atom. The energy relative to the elements, uncorrected is -1549.4 meV/atom.

=====

No. 16
Sr2AgPbCl8: relaxed, PBE-GGA.

POSCAR file:
```
Sr2AgPbCl8
1.0
-2.4171 0.3345 -4.8967
-3.8307 -5.3173 2.1400
-6.0482 6.7910 3.1094
Cl Ag Sr Pb
8 1 2 1
direct
0.9160 0.3261 0.7154 Cl
0.8556 0.1409 0.2287 Cl
0.6622 0.7239 0.9981 Cl
0.3378 0.2761 0.0019 Cl
0.1444 0.8591 0.7713 Cl
0.0840 0.6739 0.2846 Cl
0.4363 0.2490 0.4756 Cl
0.5637 0.7510 0.5244 Cl
0.0000 0.0000 0.0000 Ag
0.5695 0.5068 0.2531 Sr
0.4305 0.4932 0.7469 Sr
0.0000 0.0000 0.5000 Pb
```

Computed properties:
Its final energy is -3.64 eV/atom. The value obtained for the total magnetic moment is 0.00 μB per cell. For the volume, the calculation gives 29.97 Å³ per atom. The energy relative to the elements, uncorrected is -1577.0 meV/atom.

=====

No. 17
LiLaW3: relaxed, PBE-GGA.

POSCAR file:
```
LiLaW3
1.0
-2.5470 -3.7363 -1.8631
-0.0603 -2.1493 4.3926
-4.1746 2.3106 1.0733
W Li La
3 1 1
direct
0.0000 0.0000 0.5000 W
0.5000 0.0000 0.0000 W
0.0000 0.5000 0.0000 W
0.5000 0.5000 0.5000 Li
0.0000 0.0000 0.0000 La
```

Computed properties:
Its final energy is -6.33 eV/atom. The value obtained for the total magnetic moment is 0.00 μB per cell. For the volume, the calculation gives 23.40 Å³ per atom. The value obtained for the energy relative to the elements is 2.81 eV per atom.

=====

No. 18
NdPaNiRh: relaxed, PBE-GGA.

POSCAR file:
```
NdPaNiRh
1.0
4.8894 0.0000 0.0000
2.4447 4.2343 0.0000
2.4447 1.4114 3.9922
Ni Pa Nd Rh
1 1 1 1
direct
0.7500 0.7500 0.7500 Ni
0.5000 0.5000 0.5000 Pa
0.0000 0.0000 0.0000 Nd
0.2500 0.2500 0.2500 Rh
```

Computed properties:
Its final energy is -7.18 eV/atom. The value obtained for the total magnetic moment is 0.00 μB per cell. For the volume, the calculation gives 20.66 Å³ per atom. The value obtained for the energy relative to the elements is -0.33 eV per atom.

=====

No. 19
GdScAlRu: relaxed, PBE-GGA.

POSCAR file:
```
GdScAlRu
1.0
-0.3564 0.0700 -4.8207
3.8495 -1.0639 -2.7241
0.1269 -4.1397 -2.4936
Ru Al Gd Sc
1 1 1 1
direct
0.7500 0.7500 0.7500 Ru
0.2500 0.2500 0.2500 Al
0.0000 0.0000 0.0000 Gd
0.5000 0.5000 0.5000 Sc
```

Computed properties:
Its final energy is -8.73 eV/atom. The value obtained for the total magnetic moment is 7.04 μB per cell. For the volume, the calculation gives 19.97 Å³ per atom. The value obtained for the energy relative to the elements is -0.37 eV per atom.

=====

No. 20
HfPd6Au5: relaxed, PBE-GGA.

POSCAR file:
```
HfPd6Au5
1.0
-2.2960 3.4011 0.5967
-5.6629 -3.0263 -4.5393
-3.7223 -0.9057 5.2475
Pd Au Hf
6 5 1
direct
0.5000 0.2416 0.0000 Pd
0.8358 0.7538 0.3283 Pd
0.8358 0.2462 0.3283 Pd
0.5000 0.7584 0.0000 Pd
0.1642 0.2462 0.6717 Pd
0.1642 0.7538 0.6717 Pd
0.0000 0.5000 0.0000 Au
0.6654 0.5000 0.6691 Au
0.6664 0.0000 0.6672 Au
0.3336 0.0000 0.3328 Au
0.3346 0.5000 0.3309 Au
0.0000 0.0000 0.0000 Hf
```

Computed properties:
Its final energy is -5.16 eV/atom. The value obtained for the total magnetic moment is 0.00 μB per cell. For the volume, the calculation gives 16.73 Å³ per atom. The value obtained for the energy relative to the elements is -0.36 eV per atom.